Density functional theory data (PBE-GGA) for an optimized crystal structure of TbPbBr6.

Its crystal system is trigonal. The raw formation energy is -900.8 kJ/mol of formula units.

Cell: 7.687 7.687 7.687 Å, 55.31 55.31 55.31°
Positions (direct):
Tb: 0.000 0.000 0.000
Pb: 0.500 0.500 0.500
Br: 0.075 0.412 0.757
Br: 0.243 0.925 0.588
Br: 0.412 0.757 0.075
Br: 0.588 0.243 0.925
Br: 0.757 0.075 0.412
Br: 0.925 0.588 0.243